A plane-wave DFT calculation with GGA+U was carried out for a relaxed structure of K2Y2VO6.

Cell: 5.741 5.741 6.566 Å, 97.43 97.43 119.90°
Last column: magnetic moment on the atom in μB.
Fractional coordinates of all 11 atoms:
Y 0.333 0.667 0.500  0.00
K 0.162 0.838 0.000  0.00
Y 0.667 0.333 0.500  0.00
O 0.233 0.233 0.335  -0.03
O 0.358 0.048 0.672  0.00
O 0.952 0.642 0.328  0.00
K 0.838 0.162 0.000  0.00
O 0.048 0.358 0.672  0.00
O 0.767 0.767 0.665  -0.03
O 0.642 0.952 0.328  0.00
V 0.000 0.000 0.500  1.02

- magnetization (μB/f.u.) = 1.000
- electronic total energy (Ry/atom) = -0.53622
- volume (Å³ per atom) = 16.48

=====

A plane-wave DFT calculation with GGA+U was carried out for a relaxed structure of KV4Zn3O12.

Cell: 6.994 6.994 6.994 Å, 110.17 110.17 110.17°
Last column: magnetic moment on the atom in μB.
Fractional coordinates of all 20 atoms:
V 0.067 0.500 0.933  0.84
O 0.086 0.914 0.500  -0.07
O 0.123 0.663 0.785  -0.06
V 0.933 0.067 0.500  0.84
Zn 0.565 0.435 0.000  -0.01
O 0.215 0.337 0.877  -0.06
O 0.877 0.215 0.337  -0.06
O 0.651 0.500 0.349  -0.07
O 0.663 0.785 0.123  -0.06
O 0.500 0.349 0.651  -0.07
Zn 0.000 0.565 0.435  -0.01
O 0.337 0.877 0.215  -0.06
O 0.785 0.123 0.663  -0.06
V 0.500 0.933 0.067  0.84
O 0.500 0.086 0.914  -0.07
K 0.000 0.000 0.000  0.01
O 0.349 0.651 0.500  -0.07
Zn 0.435 0.000 0.565  -0.01
V 0.500 0.500 0.500  0.99
O 0.914 0.500 0.086  -0.07

- magnetization (μB/f.u.) = 2.999
- electronic total energy (Ry/atom) = -0.45948
- volume (Å³ per atom) = 12.82

=====

A plane-wave DFT calculation with GGA+U was carried out for a relaxed structure of KVZnO4.

Cell: 5.648 5.648 5.732 Å, 119.52 119.52 90.00°
Fractional coordinates of all 7 atoms:
O 0.361 0.740 0.261
O 0.260 0.100 0.739
K 0.000 0.000 0.000
V 0.250 0.750 0.500
O 0.479 0.639 0.739
Zn 0.500 0.500 0.000
O 0.900 0.521 0.261

- magnetization (μB/f.u.) = 0.000
- electronic total energy (Ry/atom) = -0.44671
- volume (Å³ per atom) = 18.74

=====

A plane-wave DFT calculation with GGA+U was carried out for a relaxed structure of K3ZrV2O8.

Cell: 5.898 5.898 7.621 Å, 90.00 90.00 120.00°
Last column: magnetic moment on the atom in μB.
Fractional coordinates of all 14 atoms:
O 0.333 0.667 0.028  -0.04
V 0.667 0.333 0.751  0.52
V 0.333 0.667 0.249  0.52
O 0.662 0.831 0.337  -0.03
K 0.333 0.667 0.688  0.00
O 0.169 0.338 0.337  -0.03
Zr 0.000 0.000 0.500  0.15
K 0.000 0.000 0.000  0.00
O 0.831 0.169 0.663  -0.03
O 0.169 0.831 0.337  -0.03
O 0.338 0.169 0.663  -0.03
O 0.831 0.662 0.663  -0.03
O 0.667 0.333 0.972  -0.04
K 0.667 0.333 0.312  0.00

- magnetization (μB/f.u.) = 1.000
- electronic total energy (Ry/atom) = -0.51350
- volume (Å³ per atom) = 16.40

=====

A plane-wave DFT calculation with GGA+U was carried out for a relaxed structure of KWO6.

Cell: 5.109 5.109 5.109 Å, 94.52 94.52 94.52°
Last column: magnetic moment on the atom in μB.
Fractional coordinates of all 8 atoms:
O 0.766 0.766 0.419  0.76
O 0.419 0.766 0.766  0.76
O 0.234 0.234 0.581  0.76
O 0.766 0.419 0.766  0.76
O 0.234 0.581 0.234  0.76
K 0.000 0.000 0.000  0.00
O 0.581 0.234 0.234  0.76
W 0.500 0.500 0.500  -0.45

- magnetization (μB/f.u.) = 5.000
- electronic total energy (Ry/atom) = -0.39458
- volume (Å³ per atom) = 16.50

=====

A plane-wave DFT calculation with GGA+U was carried out for a relaxed structure of KWO3.

Cell: 5.390 5.675 5.878 Å, 90.00 99.25 90.00°
Last column: magnetic moment on the atom in μB.
Fractional coordinates of all 10 atoms:
O 0.686 0.250 0.640  -0.04
K 0.100 0.250 0.360  0.00
O 0.283 0.002 0.885  0.01
W 0.553 0.250 0.901  1.03
O 0.283 0.498 0.885  0.01
K 0.900 0.750 0.640  0.00
O 0.717 0.502 0.115  0.01
W 0.447 0.750 0.099  1.03
O 0.717 0.998 0.115  0.01
O 0.314 0.750 0.360  -0.04

- magnetization (μB/f.u.) = 1.000
- electronic total energy (Ry/atom) = -0.48472
- volume (Å³ per atom) = 17.75

=====

A plane-wave DFT calculation with GGA+U was carried out for a relaxed structure of K4WO5.

Cell: 5.623 6.416 6.416 Å, 78.93 64.01 64.01°
Fractional coordinates of all 10 atoms:
W 0.065 0.000 0.000
O 0.393 0.000 0.000
K 0.220 0.195 0.402
O 0.216 0.849 0.708
O 0.065 0.708 0.151
K 0.817 0.805 0.598
K 0.622 0.598 0.195
O 0.924 0.292 0.849
O 0.773 0.151 0.292
K 0.415 0.402 0.805

- magnetization (μB/f.u.) = 0.000
- electronic total energy (Ry/atom) = -0.40431
- volume (Å³ per atom) = 18.70
- ΔE to the lowest computed polymorph (eV per formula unit) = 0.12

=====

A plane-wave DFT calculation with GGA+U was carried out for a relaxed structure of KWO3.

Cell: 3.708 3.708 12.006 Å, 81.12 81.12 90.00°
Last column: magnetic moment on the atom in μB.
Fractional coordinates of all 10 atoms:
K 0.250 0.750 0.500  0.00
O 0.638 0.893 0.214  0.06
K 0.000 0.000 0.000  0.00
O 0.148 0.893 0.214  0.06
O 0.107 0.362 0.786  0.06
O 0.331 0.331 0.338  0.00
W 0.629 0.129 0.742  0.01
O 0.107 0.852 0.786  0.06
O 0.669 0.669 0.662  0.00
W 0.871 0.371 0.258  0.01

- magnetization (μB/f.u.) = 0.135
- electronic total energy (Ry/atom) = -0.40180
- volume (Å³ per atom) = 16.11

=====

A plane-wave DFT calculation with GGA+U was carried out for a relaxed structure of KWO3.

Cell: 4.016 4.016 4.016 Å, 90.00 90.00 90.00°
Last column: magnetic moment on the atom in μB.
Fractional coordinates of all 5 atoms:
K 0.000 0.000 0.000  0.00
O 0.500 0.500 0.000  -0.03
O 0.000 0.500 0.500  -0.12
W 0.500 0.500 0.500  1.08
O 0.500 0.000 0.500  -0.03

- magnetization (μB/f.u.) = 1.000
- electronic total energy (Ry/atom) = -0.48683
- volume (Å³ per atom) = 12.96

=====

A plane-wave DFT calculation with GGA+U was carried out for a relaxed structure of KWO3.

Cell: 4.157 13.321 7.446 Å, 90.00 90.00 90.00°
Last column: magnetic moment on the atom in μB.
Fractional coordinates of all 20 atoms:
K 0.000 0.000 0.500  0.00
O 0.500 0.250 0.859  0.01
O 0.500 0.627 0.523  -0.01
W 0.000 0.750 0.083  1.01
W 0.000 0.250 0.917  1.01
O 0.000 0.127 0.023  -0.01
O 0.500 0.873 0.523  -0.01
O 0.000 0.250 0.641  0.01
W 0.500 0.750 0.417  1.01
K 0.000 0.500 0.500  0.00
O 0.500 0.127 0.477  -0.01
O 0.000 0.873 0.977  -0.01
O 0.500 0.373 0.477  -0.01
O 0.000 0.373 0.023  -0.01
O 0.000 0.627 0.977  -0.01
K 0.500 0.000 0.000  0.00
W 0.500 0.250 0.583  1.01
O 0.000 0.750 0.359  0.01
O 0.500 0.750 0.141  0.01
K 0.500 0.500 0.000  0.00

- magnetization (μB/f.u.) = 1.000
- electronic total energy (Ry/atom) = -0.47945
- volume (Å³ per atom) = 20.62

=====

A plane-wave DFT calculation with GGA+U was carried out for a relaxed structure of KWO3.

Cell: 4.254 4.254 4.254 Å, 90.00 90.00 90.00°
Last column: magnetic moment on the atom in μB.
Fractional coordinates of all 5 atoms:
O 0.000 0.500 0.000  0.13
O 0.500 0.000 0.000  0.13
W 0.500 0.500 0.500  2.99
O 0.000 0.000 0.500  0.13
K 0.000 0.000 0.000  0.15

- magnetization (μB/f.u.) = 4.026
- electronic total energy (Ry/atom) = -0.25045
- volume (Å³ per atom) = 15.39

=====

A plane-wave DFT calculation with GGA+U was carried out for a relaxed structure of K2W4O13.

Cell: 3.874 16.034 16.070 Å, 119.90 90.01 90.00°
Fractional coordinates of all 57 atoms:
O 0.001 0.184 0.030
O 0.499 0.171 0.903
W 0.002 0.824 0.089
O 0.000 0.311 0.960
O 0.001 0.803 0.368
O 0.001 0.501 0.500
O 0.002 0.779 0.622
O 0.002 0.349 0.308
O 0.001 0.361 0.560
O 0.501 0.075 0.637
W 0.989 0.091 0.268
O 0.001 0.970 0.152
O 0.001 0.505 0.005
O 0.000 0.039 0.349
O 0.001 0.565 0.198
K 0.503 0.499 0.313
O 0.001 0.194 0.631
O 0.002 0.960 0.652
K 0.502 0.685 0.182
O 0.501 0.562 0.925
O 0.501 0.923 0.362
O 0.001 0.432 0.810
K 0.500 0.212 0.517
W 0.987 0.729 0.821
O 0.000 0.820 0.970
O 0.497 0.736 0.832
W 0.009 0.910 0.736
W 0.002 0.912 0.361
O 0.001 0.632 0.435
W 0.001 0.085 0.638
K 0.492 0.974 0.991
O 0.998 0.655 0.690
O 0.001 0.998 0.500
O 0.002 0.032 0.849
W 0.001 0.450 0.088
W 0.001 0.364 0.451
O 0.001 0.844 0.222
O 0.001 0.151 0.182
O 0.501 0.639 0.560
O 0.001 0.156 0.777
O 0.001 0.222 0.376
O 0.000 0.623 0.846
O 0.501 0.440 0.078
O 0.001 0.692 0.041
K 0.503 0.813 0.501
O 0.498 0.096 0.266
O 0.001 0.849 0.819
W 0.001 0.550 0.911
O 0.501 0.362 0.437
O 0.503 0.266 0.169
W 0.009 0.266 0.176
W 0.991 0.178 0.910
O 0.503 0.904 0.735
W 0.002 0.638 0.551
K 0.499 0.311 0.805
O 0.001 0.378 0.155
O 0.501 0.832 0.097

- magnetization (μB/f.u.) = 0.000
- electronic total energy (Ry/atom) = -0.52045
- volume (Å³ per atom) = 15.18